# 1
Density functional theory data (PBE) for a relaxed structure of YMg2Cd.

```
data_YMg2Cd
_chemical_formula_sum 'Y1 Mg2 Cd1'
_symmetry_space_group_name_H-M 'P 4 m m'
_symmetry_Int_Tables_number 99
_cell_length_a 3.3884
_cell_length_b 3.3884
_cell_length_c 8.5206
_cell_angle_alpha 90.00
_cell_angle_beta 90.00
_cell_angle_gamma 90.00
loop_
_symmetry_equiv_pos_as_xyz
'x,y,z'
'-y,x,z'
'-x,-y,z'
'y,-x,z'
'-x,y,z'
'y,x,z'
'x,-y,z'
'-y,-x,z'
loop_
_atom_site_label
_atom_site_type_symbol
_atom_site_fract_x
_atom_site_fract_y
_atom_site_fract_z
_atom_site_occupancy
Y1 Y 0.0000 0.0000 0.0000 1
Mg1 Mg 0.0000 0.0000 0.4800 1
Mg2 Mg 0.5000 0.5000 0.7221 1
Cd1 Cd 0.5000 0.5000 0.2579 1
```

* DFT total energy: -2.79 eV per atom
* formation enthalpy at 0 K: -0.58 eV/f.u.
* mass density: 4.242 g/cm3

# 2
Density functional theory data (PBE) for a relaxed structure of AlSiPb2.

```
data_AlSiPb2
_chemical_formula_sum 'Al2 Si2 Pb4'
_symmetry_space_group_name_H-M 'C 1 2/m 1'
_symmetry_Int_Tables_number 12
_cell_length_a 6.7251
_cell_length_b 9.0141
_cell_length_c 3.2894
_cell_angle_alpha 90.00
_cell_angle_beta 96.17
_cell_angle_gamma 90.00
loop_
_symmetry_equiv_pos_as_xyz
'x,y,z'
'-x,-y,-z'
'-x,y,-z'
'x,-y,z'
'x+1/2,y+1/2,z'
'-x+1/2,-y+1/2,-z'
'-x+1/2,y+1/2,-z'
'x+1/2,-y+1/2,z'
loop_
_atom_site_label
_atom_site_type_symbol
_atom_site_fract_x
_atom_site_fract_y
_atom_site_fract_z
_atom_site_occupancy
Al1 Al 0.0000 0.0000 0.0000 1
Si1 Si 0.0000 0.5000 0.0000 1
Pb1 Pb 0.2500 0.2500 0.5000 1
```

* raw formation energy: 1.8 eV per formula unit
* DFT total energy: -3.71 eV per atom
* mass density: 7.864 g/cm3

# 3
Density functional theory data (PBE) for a relaxed structure of YHoTm5.

```
data_YHoTm5
_chemical_formula_sum 'Y4 Ho4 Tm20'
_symmetry_space_group_name_H-M 'C 1 2/c 1'
_symmetry_Int_Tables_number 15
_cell_length_a 11.5160
_cell_length_b 6.6775
_cell_length_c 12.0076
_cell_angle_alpha 90.00
_cell_angle_beta 109.44
_cell_angle_gamma 90.00
loop_
_symmetry_equiv_pos_as_xyz
'x,y,z'
'-x,-y,-z'
'-x,y,-z+1/2'
'x,-y,z+1/2'
'x+1/2,y+1/2,z'
'-x+1/2,-y+1/2,-z'
'-x+1/2,y+1/2,-z+1/2'
'x+1/2,-y+1/2,z+1/2'
loop_
_atom_site_label
_atom_site_type_symbol
_atom_site_fract_x
_atom_site_fract_y
_atom_site_fract_z
_atom_site_occupancy
Y1 Y 0.2500 0.2500 0.0000 1
Ho1 Ho 0.0000 0.0266 0.2500 1
Tm1 Tm 0.0000 0.4172 0.7500 1
Tm2 Tm 0.0773 0.2714 0.4999 1
Tm3 Tm 0.2210 0.3584 0.2495 1
```

* DFT total energy: -4.57 eV per atom
* formation enthalpy at 0 K: 1.38 eV/f.u.
* mass density: 8.380 g/cm3